Computed, not measured: crystalline RbSb2HW at its relaxed geometry at the PBE-GGA level of DFT.

abc: 5.3497 5.3497 4.2556
angles: 90.00 90.00 90.00
Closest atoms and distances in Å follow each position.
Positions (direct):
Sb  0.0000  0.5000  0.0000  2 W 2.67
Sb  0.5000  0.0000  0.0000  2 W 2.67
Rb  0.5000  0.5000  0.5000  8 Sb 3.42, 4 H 3.78
W  0.0000  0.0000  0.0000  2 H 2.13
H  0.0000  0.0000  0.5000  2 W 2.13

Properties
DFT total energy   -23.262 eV per cell